Entry 1:
The following is a DFT calculation (PBE) of a relaxed Lu2CdCo crystal.

a = 3.6623 Å, b = 3.6623 Å, c = 28.2938 Å
α = 90.00°, β = 90.00°, γ = 120.00°
Space group R-3m (No. 166, hexagonal axes)
Unique sites:
Lu 0.0000 0.0000 0.1150 x6
Cd 0.0000 0.0000 0.0000 x3
Co 0.0000 0.0000 0.5000 x3

## Properties
size of the total moment = 0.00 μB per formula unit
energy relative to the elements = 0.036 eV/atom
energy above the lowest structure with this stoichiometry = 1.404 eV/f.u.

Entry 2:
The following is a DFT calculation (PBE) of a relaxed LuMgCdCo crystal.

a = 6.763 Å, b = 6.763 Å, c = 6.763 Å
α = 90.00°, β = 90.00°, γ = 90.00°
Space group F-43m (No. 216)
Unique sites:
Lu 0.000 0.000 0.000 x4
Mg 0.000 0.000 0.500 x4
Cd 0.250 0.250 0.750 x4
Co 0.250 0.250 0.250 x4

## Properties
size of the total moment = 0.82 μB per formula unit
energy relative to the elements = -0.030 eV/atom

What is the energy relative to the elements in the second record?
-0.030 eV/atom